Below is a relaxed InGaIr crystal, with properties calculated at the PBE level.

Cell lengths 8.9801, 3.0505, 9.3344 Å; angles 90.00, 113.56, 90.00 degrees
Last column: nearest neighbours and their distance in Å.
Fractional positions:
In: 0.1709 0.0000 0.1143  2 Ir 2.80, 3 In 2.96-3.05
In: 0.3291 0.5000 0.8857  2 Ir 2.80, 3 In 2.96-3.05
In: 0.6709 0.5000 0.1143  2 Ir 2.80, 3 In 2.96-3.05
In: 0.8291 0.0000 0.8857  2 Ir 2.80, 3 In 2.96-3.05
Ga: 0.0397 0.5000 0.3623  5 Ir 2.47-2.66
Ga: 0.4603 0.0000 0.6377  5 Ir 2.47-2.66
Ga: 0.5397 0.0000 0.3623  5 Ir 2.47-2.66
Ga: 0.9603 0.5000 0.6377  5 Ir 2.47-2.66
Ir: 0.1763 0.0000 0.6152  5 Ga 2.47-2.66
Ir: 0.3237 0.5000 0.3848  5 Ga 2.47-2.66
Ir: 0.6763 0.5000 0.6152  5 Ga 2.47-2.66
Ir: 0.8237 0.0000 0.3848  5 Ga 2.47-2.66

Results
energy relative to the elements = -0.21 eV/atom
crystal system = monoclinic
volume = 19.5 Å³ per atom
D(E_F) = 0.30 states/eV per atom